No. 1
The following is a PBE calculation of a relaxed AcNdSiBr crystal, from Alexandria.

M_tot: 0.000 μB/atom
formation energy from raw total energies: -0.83 eV/atom

a = 7.6153 Å, b = 7.6153 Å, c = 7.6153 Å
α = 90.00°, β = 90.00°, γ = 90.00°
Positions (direct):
Ac (0.0000, 0.0000, 0.0000)
Ac (0.0000, 0.5000, 0.5000)
Ac (0.5000, 0.0000, 0.5000)
Ac (0.5000, 0.5000, 0.0000)
Nd (0.0000, 0.0000, 0.5000)
Nd (0.0000, 0.5000, 0.0000)
Nd (0.5000, 0.0000, 0.0000)
Nd (0.5000, 0.5000, 0.5000)
Si (0.2500, 0.2500, 0.7500)
Si (0.2500, 0.7500, 0.2500)
Si (0.7500, 0.2500, 0.2500)
Si (0.7500, 0.7500, 0.7500)
Br (0.2500, 0.2500, 0.2500)
Br (0.2500, 0.7500, 0.7500)
Br (0.7500, 0.2500, 0.7500)
Br (0.7500, 0.7500, 0.2500)

No. 2
The following is a PBE calculation of a relaxed AcNdSnBr crystal, from Alexandria.

M_tot: 0.000 μB/atom
formation energy from raw total energies: -0.93 eV/atom

a = 7.9082 Å, b = 7.9082 Å, c = 7.9082 Å
α = 90.00°, β = 90.00°, γ = 90.00°
Positions (direct):
Ac (0.0000, 0.0000, 0.0000)
Ac (0.0000, 0.5000, 0.5000)
Ac (0.5000, 0.0000, 0.5000)
Ac (0.5000, 0.5000, 0.0000)
Nd (0.0000, 0.0000, 0.5000)
Nd (0.0000, 0.5000, 0.0000)
Nd (0.5000, 0.0000, 0.0000)
Nd (0.5000, 0.5000, 0.5000)
Sn (0.2500, 0.2500, 0.7500)
Sn (0.2500, 0.7500, 0.2500)
Sn (0.7500, 0.2500, 0.2500)
Sn (0.7500, 0.7500, 0.7500)
Br (0.2500, 0.2500, 0.2500)
Br (0.2500, 0.7500, 0.7500)
Br (0.7500, 0.2500, 0.7500)
Br (0.7500, 0.7500, 0.2500)

No. 3
The following is a PBE calculation of a relaxed AcNdTe2Br crystal, from Alexandria.

M_tot: 0.000 μB/atom
formation energy from raw total energies: -1.50 eV/atom

a = 4.6259 Å, b = 4.6259 Å, c = 15.4738 Å
α = 90.00°, β = 90.00°, γ = 90.00°
Positions (direct):
Ac (0.2500, 0.2500, 0.0921)
Ac (0.7500, 0.7500, 0.9079)
Nd (0.2500, 0.2500, 0.6379)
Nd (0.7500, 0.7500, 0.3621)
Te (0.2500, 0.2500, 0.3065)
Te (0.2500, 0.2500, 0.8680)
Te (0.7500, 0.7500, 0.1320)
Te (0.7500, 0.7500, 0.6935)
Br (0.2500, 0.7500, 0.5000)
Br (0.7500, 0.2500, 0.5000)

No. 4
The following is a PBE calculation of a relaxed AcNdTlBr crystal, from Alexandria.

M_tot: 0.000 μB/atom
formation energy from raw total energies: -0.65 eV/atom

a = 7.9706 Å, b = 7.9706 Å, c = 7.9706 Å
α = 90.00°, β = 90.00°, γ = 90.00°
Positions (direct):
Ac (0.0000, 0.0000, 0.0000)
Ac (0.0000, 0.5000, 0.5000)
Ac (0.5000, 0.0000, 0.5000)
Ac (0.5000, 0.5000, 0.0000)
Nd (0.0000, 0.0000, 0.5000)
Nd (0.0000, 0.5000, 0.0000)
Nd (0.5000, 0.0000, 0.0000)
Nd (0.5000, 0.5000, 0.5000)
Tl (0.2500, 0.2500, 0.2500)
Tl (0.2500, 0.7500, 0.7500)
Tl (0.7500, 0.2500, 0.7500)
Tl (0.7500, 0.7500, 0.2500)
Br (0.2500, 0.2500, 0.7500)
Br (0.2500, 0.7500, 0.2500)
Br (0.7500, 0.2500, 0.2500)
Br (0.7500, 0.7500, 0.7500)

No. 5
The following is a PBE calculation of a relaxed AcNiBr crystal, from Alexandria.

M_tot: 0.000 μB/atom
formation energy from raw total energies: -1.06 eV/atom

a = 7.4160 Å, b = 4.2813 Å, c = 12.0212 Å
α = 90.00°, β = 102.05°, γ = 90.00°
Positions (direct):
Ac (0.0566, 0.0000, 0.1675)
Ac (0.4434, 0.5000, 0.8325)
Ac (0.5566, 0.5000, 0.1675)
Ac (0.9434, 0.0000, 0.8325)
Ni (0.1642, 0.5000, 0.9930)
Ni (0.3358, 0.0000, 0.0070)
Ni (0.6642, 0.0000, 0.9930)
Ni (0.8358, 0.5000, 0.0070)
Br (0.2173, 0.0000, 0.6571)
Br (0.2827, 0.5000, 0.3429)
Br (0.7173, 0.5000, 0.6571)
Br (0.7827, 0.0000, 0.3429)

No. 6
The following is a PBE calculation of a relaxed Ac3Ni3Br crystal, from Alexandria.

M_tot: 0.063 μB/atom
formation energy from raw total energies: -0.55 eV/atom

a = 10.3998 Å, b = 10.3998 Å, c = 4.2040 Å
α = 90.00°, β = 90.00°, γ = 120.00°
Positions (direct):
Ac (0.1007, 0.7264, 0.2500)
Ac (0.2736, 0.3743, 0.2500)
Ac (0.3743, 0.1007, 0.7500)
Ac (0.6257, 0.8993, 0.2500)
Ac (0.7264, 0.6257, 0.7500)
Ac (0.8993, 0.2736, 0.7500)
Ni (0.0401, 0.8858, 0.7500)
Ni (0.1142, 0.1543, 0.7500)
Ni (0.1543, 0.0401, 0.2500)
Ni (0.8457, 0.9599, 0.7500)
Ni (0.8858, 0.8457, 0.2500)
Ni (0.9599, 0.1142, 0.2500)
Br (0.3333, 0.6667, 0.7500)
Br (0.6667, 0.3333, 0.2500)

No. 7
The following is a PBE calculation of a relaxed Ac2NiBr2 crystal, from Alexandria.

M_tot: 0.000 μB/atom
formation energy from raw total energies: -1.16 eV/atom

a = 4.3037 Å, b = 4.3037 Å, c = 33.8854 Å
α = 90.00°, β = 90.00°, γ = 120.00°
Positions (direct):
Ac (0.0000, 0.0000, 0.1159)
Ac (0.0000, 0.0000, 0.8841)
Ac (0.3333, 0.6667, 0.5508)
Ac (0.3333, 0.6667, 0.7825)
Ac (0.6667, 0.3333, 0.2175)
Ac (0.6667, 0.3333, 0.4492)
Ni (0.0000, 0.0000, 0.5000)
Ni (0.3333, 0.6667, 0.1667)
Ni (0.6667, 0.3333, 0.8333)
Br (0.0000, 0.0000, 0.2785)
Br (0.0000, 0.0000, 0.7215)
Br (0.3333, 0.6667, 0.3882)
Br (0.3333, 0.6667, 0.9452)
Br (0.6667, 0.3333, 0.0548)
Br (0.6667, 0.3333, 0.6118)

No. 8
The following is a PBE calculation of a relaxed AcNiBr2 crystal, from Alexandria.

M_tot: 0.125 μB/atom
formation energy from raw total energies: -0.56 eV/atom

a = 3.9641 Å, b = 3.9641 Å, c = 27.2001 Å
α = 90.00°, β = 90.00°, γ = 120.00°
Positions (direct):
Ac (0.0000, 0.0000, 0.0000)
Ac (0.3333, 0.6667, 0.6667)
Ac (0.6667, 0.3333, 0.3333)
Ni (0.0000, 0.0000, 0.5000)
Ni (0.3333, 0.6667, 0.1667)
Ni (0.6667, 0.3333, 0.8333)
Br (0.0000, 0.0000, 0.4166)
Br (0.0000, 0.0000, 0.5834)
Br (0.3333, 0.6667, 0.0833)
Br (0.3333, 0.6667, 0.2500)
Br (0.6667, 0.3333, 0.7500)
Br (0.6667, 0.3333, 0.9167)

No. 9
The following is a PBE calculation of a relaxed Ac3Ni5Br12 crystal, from Alexandria.

M_tot: 0.151 μB/atom
formation energy from raw total energies: -0.89 eV/atom

a = 14.0160 Å, b = 14.0160 Å, c = 14.0160 Å
α = 109.47°, β = 109.47°, γ = 109.47°
Positions (direct):
Ac (0.1250, 0.2500, 0.3750)
Ac (0.1250, 0.3750, 0.7500)
Ac (0.2500, 0.3750, 0.1250)
Ac (0.2500, 0.8750, 0.6250)
Ac (0.3750, 0.1250, 0.2500)
Ac (0.3750, 0.7500, 0.1250)
Ac (0.6250, 0.2500, 0.8750)
Ac (0.6250, 0.8750, 0.7500)
Ac (0.7500, 0.1250, 0.3750)
Ac (0.7500, 0.6250, 0.8750)
Ac (0.8750, 0.6250, 0.2500)
Ac (0.8750, 0.7500, 0.6250)
Ni (0.0000, 0.0000, 0.0000)
Ni (0.0000, 0.0000, 0.5000)
Ni (0.0000, 0.5000, 0.0000)
Ni (0.0000, 0.5000, 0.5000)
Ni (0.1250, 0.7500, 0.8750)
Ni (0.1250, 0.8750, 0.2500)
Ni (0.2500, 0.1250, 0.8750)
Ni (0.2500, 0.6250, 0.3750)
Ni (0.3750, 0.2500, 0.6250)
Ni (0.3750, 0.6250, 0.7500)
Ni (0.5000, 0.0000, 0.0000)
Ni (0.5000, 0.0000, 0.5000)
Ni (0.5000, 0.5000, 0.0000)
Ni (0.5000, 0.5000, 0.5000)
Ni (0.6250, 0.3750, 0.2500)
Ni (0.6250, 0.7500, 0.3750)
Ni (0.7500, 0.3750, 0.6250)
Ni (0.7500, 0.8750, 0.1250)
Ni (0.8750, 0.1250, 0.7500)
Ni (0.8750, 0.2500, 0.1250)
Br (0.0233, 0.2048, 0.1145)
Br (0.0233, 0.3186, 0.9088)
Br (0.0902, 0.7048, 0.6814)
Br (0.0902, 0.8855, 0.4088)
Br (0.0912, 0.6145, 0.4098)
Br (0.0912, 0.9767, 0.6814)
Br (0.1145, 0.0233, 0.2048)
Br (0.1145, 0.5912, 0.9098)
Br (0.1814, 0.2048, 0.5902)
Br (0.1814, 0.4767, 0.5912)
Br (0.2048, 0.1145, 0.0233)
Br (0.2048, 0.5902, 0.1814)
Br (0.2952, 0.3186, 0.9098)
Br (0.2952, 0.4767, 0.3855)
Br (0.3186, 0.9088, 0.0233)
Br (0.3186, 0.9098, 0.2952)
Br (0.3855, 0.2952, 0.4767)
Br (0.3855, 0.5902, 0.9088)
Br (0.4088, 0.0902, 0.8855)
Br (0.4088, 0.8186, 0.5233)
Br (0.4098, 0.0912, 0.6145)
Br (0.4098, 0.8186, 0.7952)
Br (0.4767, 0.3855, 0.2952)
Br (0.4767, 0.5912, 0.1814)
Br (0.5233, 0.4088, 0.8186)
Br (0.5233, 0.6145, 0.7048)
Br (0.5902, 0.1814, 0.2048)
Br (0.5902, 0.9088, 0.3855)
Br (0.5912, 0.1814, 0.4767)
Br (0.5912, 0.9098, 0.1145)
Br (0.6145, 0.4098, 0.0912)
Br (0.6145, 0.7048, 0.5233)
Br (0.6814, 0.0902, 0.7048)
Br (0.6814, 0.0912, 0.9767)
Br (0.7048, 0.5233, 0.6145)
Br (0.7048, 0.6814, 0.0902)
Br (0.7952, 0.4098, 0.8186)
Br (0.7952, 0.8855, 0.9767)
Br (0.8186, 0.5233, 0.4088)
Br (0.8186, 0.7952, 0.4098)
Br (0.8855, 0.4088, 0.0902)
Br (0.8855, 0.9767, 0.7952)
Br (0.9088, 0.0233, 0.3186)
Br (0.9088, 0.3855, 0.5902)
Br (0.9098, 0.1145, 0.5912)
Br (0.9098, 0.2952, 0.3186)
Br (0.9767, 0.6814, 0.0912)
Br (0.9767, 0.7952, 0.8855)

No. 10
The following is a PBE calculation of a relaxed Ac3Ni2Br crystal, from Alexandria.

M_tot: 0.000 μB/atom
formation energy from raw total energies: -0.40 eV/atom

a = 7.8092 Å, b = 7.8092 Å, c = 10.6813 Å
α = 90.00°, β = 90.00°, γ = 145.24°
Positions (direct):
Ac (0.0986, 0.9014, 0.7500)
Ac (0.3790, 0.6210, 0.5514)
Ac (0.3790, 0.6210, 0.9486)
Ac (0.6210, 0.3790, 0.0514)
Ac (0.6210, 0.3790, 0.4486)
Ac (0.9014, 0.0986, 0.2500)
Ni (0.0000, 0.0000, 0.0000)
Ni (0.0000, 0.0000, 0.5000)
Ni (0.4898, 0.5102, 0.2500)
Ni (0.5102, 0.4898, 0.7500)
Br (0.2264, 0.7736, 0.2500)
Br (0.7736, 0.2264, 0.7500)

No. 11
The following is a PBE calculation of a relaxed Ac4Ni3Br crystal, from Alexandria.

M_tot: 0.000 μB/atom
formation energy from raw total energies: -0.44 eV/atom

a = 4.2150 Å, b = 6.2023 Å, c = 9.0879 Å
α = 90.00°, β = 90.00°, γ = 90.00°
Positions (direct):
Ac (0.0000, 0.0000, 0.0000)
Ac (0.0000, 0.0000, 0.5000)
Ac (0.5000, 0.5000, 0.2182)
Ac (0.5000, 0.5000, 0.7818)
Ni (0.0000, 0.5000, 0.0000)
Ni (0.5000, 0.0000, 0.2580)
Ni (0.5000, 0.0000, 0.7420)
Br (0.0000, 0.5000, 0.5000)

No. 12
The following is a PBE calculation of a relaxed Ac8NiOs3Br4 crystal, from Alexandria.

M_tot: 0.000 μB/atom
formation energy from raw total energies: -0.77 eV/atom

a = 9.6528 Å, b = 9.6528 Å, c = 9.6528 Å
α = 53.28°, β = 53.28°, γ = 53.28°
Positions (direct):
Ac (0.2258, 0.7338, 0.7338)
Ac (0.2320, 0.2320, 0.2320)
Ac (0.2662, 0.2662, 0.7742)
Ac (0.2662, 0.7742, 0.2662)
Ac (0.7338, 0.2258, 0.7338)
Ac (0.7338, 0.7338, 0.2258)
Ac (0.7680, 0.7680, 0.7680)
Ac (0.7742, 0.2662, 0.2662)
Ni (0.5000, 0.5000, 0.5000)
Os (0.0000, 0.0000, 0.5000)
Os (0.0000, 0.5000, 0.0000)
Os (0.5000, 0.0000, 0.0000)
Br (0.0000, 0.0000, 0.0000)
Br (0.0000, 0.5000, 0.5000)
Br (0.5000, 0.0000, 0.5000)
Br (0.5000, 0.5000, 0.0000)

What is the M_tot in the second record? 0.000 μB/atom

The highest formation energy from raw total energies belongs to which entry? Ac3Ni2Br